# 1
Material: CoHgTeAs2
Method: DFT, PBEsol
State: relaxed

The value obtained for the total energy is -4.15 eV per atom.

Cell lengths 4.5025, 4.5025, 5.0908 Å; angles 90.00, 90.00, 90.00 degrees
Last column: nearest neighbours and their distance in Å.
Atoms (fractional coordinates):
As  0.0000  0.5000  0.0000  2 Co 2.25
As  0.5000  0.0000  0.0000  2 Co 2.25
Te  0.5000  0.5000  0.5000  4 Hg 3.18, 8 As 3.40
Co  0.0000  0.0000  0.0000  4 As 2.25
Hg  0.0000  0.0000  0.5000  2 Co 2.55

=====

# 2
Material: Ni2Pt
Method: DFT, PBEsol
State: relaxed

As for the energy of formation from the pure elements: -0.997 kcal/mol of atoms.

Cell lengths 4.4475, 4.4475, 8.1577 Å; angles 100.72, 100.72, 108.53 degrees
Last column: nearest neighbours and their distance in Å.
Atoms (fractional coordinates):
Ni  0.5037  0.0037  0.0073  7 Ni 2.50-2.60, 5 Pt 2.54-2.70
Ni  0.5874  0.5874  0.1747  9 Ni 2.41-2.57, 3 Pt 2.51-2.60
Ni  0.6650  0.1650  0.3301  9 Ni 2.50-2.60, 3 Pt 2.54-2.55
Ni  0.7434  0.7434  0.4868  7 Ni 2.41-2.60, 4 Pt 2.59
Ni  0.9191  0.9191  0.8381  7 Pt 2.55-2.62, 5 Ni 2.58-2.72
Ni  0.0037  0.5037  0.0073  7 Ni 2.50-2.60, 5 Pt 2.54-2.70
Ni  0.1650  0.6650  0.3301  9 Ni 2.50-2.60, 3 Pt 2.54-2.55
Ni  0.2458  0.2458  0.4916  6 Pt 2.50-2.77, 6 Ni 2.55-2.60
Pt  0.8291  0.3291  0.6582  8 Ni 2.54-2.70, 4 Pt 2.60-2.67
Pt  0.0840  0.0840  0.1681  12 Ni 2.50-2.60
Pt  0.3291  0.8291  0.6582  8 Ni 2.54-2.70, 4 Pt 2.60-2.67
Pt  0.4248  0.4248  0.8496  8 Ni 2.51-2.77, 4 Pt 2.67